This record from Alexandria via LeMat-Bulk describes an optimized crystal structure of Tm12AlNi6. The functional is GGA-PBE.

Cell: 8.2444 8.2444 8.2444 Å, 109.47 109.47 109.47°
Sites, in units of the cell vectors:
Tm (0.1132, 0.8131, 0.3001)
Tm (0.1869, 0.3001, 0.4869)
Tm (0.1869, 0.6999, 0.8868)
Tm (0.3001, 0.1132, 0.8131)
Tm (0.3001, 0.4869, 0.1869)
Tm (0.4869, 0.1869, 0.3001)
Tm (0.5131, 0.8131, 0.6999)
Tm (0.6999, 0.5131, 0.8131)
Tm (0.6999, 0.8868, 0.1869)
Tm (0.8131, 0.3001, 0.1132)
Tm (0.8131, 0.6999, 0.5131)
Tm (0.8868, 0.1869, 0.6999)
Al (0.0000, 0.0000, 0.0000)
Ni (0.1245, 0.6245, 0.5000)
Ni (0.3755, 0.5000, 0.8755)
Ni (0.5000, 0.1245, 0.6245)
Ni (0.5000, 0.8755, 0.3755)
Ni (0.6245, 0.5000, 0.1245)
Ni (0.8755, 0.3755, 0.5000)

Properties
As for the crystal system: cubic. Its raw total energy is -99.20 eV/cell. The calculation puts the formation energy at -0.374 eV/atom. The magnetization comes out at 0.00 μB/f.u. The symmetry is Im-3, No. 204.



This record from Alexandria via LeMat-Bulk describes an optimized crystal structure of TmHg6Pb. The functional is GGA-PBE.

Cell: 8.5135 8.5135 8.5135 Å, 43.46 43.46 43.46°
Sites, in units of the cell vectors:
Tm (0.0000, 0.0000, 0.0000)
Hg (0.0731, 0.0731, 0.5544)
Hg (0.0731, 0.5544, 0.0731)
Hg (0.4456, 0.9269, 0.9269)
Hg (0.5544, 0.0731, 0.0731)
Hg (0.9269, 0.4456, 0.9269)
Hg (0.9269, 0.9269, 0.4456)
Pb (0.5000, 0.5000, 0.5000)

Properties
As for the crystal system: trigonal. Its raw total energy is -9.11 eV/cell. The calculation puts the formation energy at 0.110 eV/atom. The magnetization comes out at 0.00 μB/f.u. The symmetry is R-3m, No. 166.



This record from Alexandria via LeMat-Bulk describes an optimized crystal structure of HIBr. The functional is GGA-PBE.

Cell: 6.2083 6.3969 7.3625 Å, 94.43 105.69 117.05°
Sites, in units of the cell vectors:
H (0.0000, 0.0000, 0.0000)
H (0.0825, 0.4938, 0.0722)
I (0.2100, 0.7596, 0.2266)
I (0.7968, 0.5238, 0.4228)
Br (0.4471, 0.3192, 0.5793)
Br (0.8611, 0.0979, 0.8777)

Properties
As for the crystal system: triclinic. Its raw total energy is -13.63 eV/cell. The magnetization comes out at 0.00 μB/f.u. The symmetry is P1, No. 1.



This record from Alexandria via LeMat-Bulk describes an optimized crystal structure of Nd2Ga4AgPt3. The functional is GGA-PBE.

Cell: 4.3166 4.3166 10.6092 Å, 90.00 90.00 90.00°
Sites, in units of the cell vectors:
Nd (0.0000, 0.5000, 0.2398)
Nd (0.5000, 0.0000, 0.7602)
Ga (0.0000, 0.0000, 0.0000)
Ga (0.0000, 0.5000, 0.6355)
Ga (0.5000, 0.0000, 0.3645)
Ga (0.5000, 0.5000, 0.0000)
Ag (0.0000, 0.0000, 0.5000)
Pt (0.0000, 0.5000, 0.8696)
Pt (0.5000, 0.0000, 0.1304)
Pt (0.5000, 0.5000, 0.5000)

Properties
As for the crystal system: tetragonal. Its raw total energy is -50.98 eV/cell. The calculation puts the formation energy at -0.837 eV/atom. The magnetization comes out at 0.00 μB/f.u. The symmetry is P-4m2, No. 115.



This record from Alexandria via LeMat-Bulk describes an optimized crystal structure of LiZn3B. The functional is GGA-PBE.

Cell: 4.1639 4.1639 4.1639 Å, 90.00 90.00 90.00°
Sites, in units of the cell vectors:
Li (0.0000, 0.0000, 0.0000)
Zn (0.0000, 0.5000, 0.5000)
Zn (0.5000, 0.0000, 0.5000)
Zn (0.5000, 0.5000, 0.0000)
B (0.5000, 0.5000, 0.5000)

Properties
As for the crystal system: cubic. Its raw total energy is -11.36 eV/cell. The calculation puts the formation energy at 0.210 eV/atom. The magnetization comes out at 0.00 μB/f.u. The symmetry is Pm-3m, No. 221.



This record from Alexandria via LeMat-Bulk describes an optimized crystal structure of DyErMnRu. The functional is GGA-PBE.

Cell: 4.8821 4.8821 4.8821 Å, 60.00 60.00 60.00°
Sites, in units of the cell vectors:
Dy (0.0000, 0.0000, 0.0000)
Er (0.5000, 0.5000, 0.5000)
Mn (0.2500, 0.2500, 0.2500)
Ru (0.7500, 0.7500, 0.7500)

Properties
As for the crystal system: cubic. Its raw total energy is -28.01 eV/cell. The calculation puts the formation energy at -0.099 eV/atom. The magnetization comes out at 3.59 μB/f.u. The symmetry is F-43m, No. 216.



This record from Alexandria via LeMat-Bulk describes an optimized crystal structure of Na3La3ScTe8. The functional is GGA-PBE.

Cell: 9.1765 9.1765 9.1765 Å, 59.65 59.65 59.65°
Sites, in units of the cell vectors:
Na (0.0000, 0.5000, 0.5000)
Na (0.5000, 0.0000, 0.5000)
Na (0.5000, 0.5000, 0.0000)
La (0.0000, 0.0000, 0.5000)
La (0.0000, 0.5000, 0.0000)
La (0.5000, 0.0000, 0.0000)
Sc (0.5000, 0.5000, 0.5000)
Te (0.2488, 0.2488, 0.2488)
Te (0.2656, 0.7310, 0.7310)
Te (0.2690, 0.2690, 0.7344)
Te (0.2690, 0.7344, 0.2690)
Te (0.7310, 0.2656, 0.7310)
Te (0.7310, 0.7310, 0.2656)
Te (0.7344, 0.2690, 0.2690)
Te (0.7512, 0.7512, 0.7512)

Properties
As for the crystal system: trigonal. Its raw total energy is -69.23 eV/cell. For the raw formation energy, the calculation gives -122.4 kJ per mole of atoms. The magnetization comes out at 0.00 μB/f.u. The symmetry is R-3m, No. 166.



This record from Alexandria via LeMat-Bulk describes an optimized crystal structure of YRe2Sb. The functional is GGA-PBE.

Cell: 4.2586 4.2586 4.1371 Å, 90.00 90.00 90.00°
Sites, in units of the cell vectors:
Y (0.0000, 0.0000, 0.0000)
Re (0.0000, 0.5000, 0.5000)
Re (0.5000, 0.0000, 0.5000)
Sb (0.5000, 0.5000, 0.0000)

Properties
As for the crystal system: tetragonal. Its raw total energy is -33.76 eV/cell. For the raw formation energy, the calculation gives 41.5 kJ per mole of atoms. The magnetization comes out at 0.00 μB/f.u. The symmetry is P4/mmm, No. 123.



| no. | V (Å³ per atom) |
| --- | --- |
| 1 | 22.7 |
| 2 | 33.1 |
| 3 | 40.6 |
| 4 | 19.8 |
| 5 | 14.4 |
| 6 | 20.6 |
| 7 | 36.1 |
| 8 | 18.8 |